# 1
# SrY3Pd, optimized geometry, DFT GGA-PBEsol
data_SrY3Pd
_chemical_formula_sum 'Sr1 Y3 Pd1'
_space_group_name_H-M_alt 'P m -3 m'
_space_group_IT_number 221
_space_group_name_Hall '-P 4 2 3'
_cell_length_a 5.2790
_cell_length_b 5.2790
_cell_length_c 5.2790
_cell_angle_alpha 90.00
_cell_angle_beta 90.00
_cell_angle_gamma 90.00
loop_
_atom_site_label
_atom_site_type_symbol
_atom_site_fract_x
_atom_site_fract_y
_atom_site_fract_z
Sr1 Sr 0.0000 0.0000 0.0000
Y1 Y 0.0000 0.0000 0.5000
Pd1 Pd 0.5000 0.5000 0.5000
# Density ... 5.20 g/cm³
# Formation energy ... 1314 meV per atom
# Total energy ... -4.34 eV/atom

# 2
# SrZn2Pd2, optimized geometry, DFT GGA-PBEsol
data_SrZn2Pd2
_chemical_formula_sum 'Sr2 Zn4 Pd4'
_space_group_name_H-M_alt 'I 4/m m m'
_space_group_IT_number 139
_space_group_name_Hall '-I 4 2'
_cell_length_a 4.2140
_cell_length_b 4.2140
_cell_length_c 10.9019
_cell_angle_alpha 90.00
_cell_angle_beta 90.00
_cell_angle_gamma 90.00
loop_
_atom_site_label
_atom_site_type_symbol
_atom_site_fract_x
_atom_site_fract_y
_atom_site_fract_z
Sr1 Sr 0.0000 0.0000 0.0000
Zn1 Zn 0.0000 0.5000 0.2500
Pd1 Pd 0.0000 0.0000 0.3782
# Density ... 7.40 g/cm³
# Formation energy ... -497 meV per atom
# Total energy ... -3.88 eV/atom

# 3
# SrZnPd3, optimized geometry, DFT GGA-PBEsol
data_SrZnPd3
_chemical_formula_sum 'Sr1 Zn1 Pd3'
_space_group_name_H-M_alt 'P m -3 m'
_space_group_IT_number 221
_space_group_name_Hall '-P 4 2 3'
_cell_length_a 5.0139
_cell_length_b 5.0139
_cell_length_c 5.0139
_cell_angle_alpha 90.00
_cell_angle_beta 90.00
_cell_angle_gamma 90.00
loop_
_atom_site_label
_atom_site_type_symbol
_atom_site_fract_x
_atom_site_fract_y
_atom_site_fract_z
Sr1 Sr 0.0000 0.0000 0.0000
Zn1 Zn 0.5000 0.5000 0.5000
Pd1 Pd 0.0000 0.0000 0.5000
# Density ... 6.22 g/cm³
# Formation energy ... 1138 meV per atom
# Total energy ... -3.12 eV/atom

# 4
# SrZr3Pd, optimized geometry, DFT GGA-PBEsol
data_SrZr3Pd
_chemical_formula_sum 'Sr1 Zr3 Pd1'
_space_group_name_H-M_alt 'P m -3 m'
_space_group_IT_number 221
_space_group_name_Hall '-P 4 2 3'
_cell_length_a 5.1483
_cell_length_b 5.1483
_cell_length_c 5.1483
_cell_angle_alpha 90.00
_cell_angle_beta 90.00
_cell_angle_gamma 90.00
loop_
_atom_site_label
_atom_site_type_symbol
_atom_site_fract_x
_atom_site_fract_y
_atom_site_fract_z
Sr1 Sr 0.0000 0.0000 0.0000
Zr1 Zr 0.0000 0.5000 0.5000
Pd1 Pd 0.5000 0.5000 0.5000
# Density ... 5.69 g/cm³
# Formation energy ... 378 meV per atom
# Total energy ... -6.64 eV/atom